8
Lattice="-2.540 2.540 4.408 2.540 -2.540 4.408 2.540 2.540 -4.408" Properties=species:S:1:pos:R:3 comment="MnPtO2 (PBE+U, relaxed)" final_energy_ev_per_cell=-50.5 pbc="T T T"
Mn 0.000 0.000 0.000
Mn 0.000 2.540 2.204
Pt 2.540 0.000 2.204
Pt 0.000 0.000 4.408
O 3.810 1.135 -1.102
O 1.135 1.270 1.102
O -1.270 1.405 3.306
O 1.405 1.270 5.510